Here is a relaxed structure of Ac6NdMg2 from Alexandria. Energies are from PBE.

Results
ΔE_f, meV/atom: -9
Final energy, eV/atom: -3.6316

Geometry as CIF:
```
data_Ac6NdMg2
_chemical_formula_sum 'Ac12 Nd2 Mg4'
_symmetry_space_group_name_H-M 'C 1 2/m 1'
_symmetry_Int_Tables_number 12
_symmetry_space_group_name_Hall '-C 2y'
_cell_length_a 14.015
_cell_length_b 4.107
_cell_length_c 13.002
_cell_angle_alpha 90.00
_cell_angle_beta 107.77
_cell_angle_gamma 90.00
loop_
_atom_site_label
_atom_site_type_symbol
_atom_site_fract_x
_atom_site_fract_y
_atom_site_fract_z
Ac1 Ac 0.026 0.000 0.334
Ac2 Ac 0.174 0.500 0.880
Ac3 Ac 0.186 0.500 0.591
Nd1 Nd 0.000 0.000 0.000
Mg1 Mg 0.151 0.500 0.193
```